Entry from the Open Quantum Materials Database: NbSiAsO after structural relaxation (PBE).

Calculated values
DFT total energy, eV/atom: -6.978
Total moment, Bohr magnetons per cell: 1.4

Lattice parameters (Å, degrees): 3.454 3.454 10.110 90.00 90.00 90.00
Fractional positions:
As (0.750, 0.750, 0.261)
As (0.250, 0.250, 0.739)
Nb (0.250, 0.250, 0.127)
Nb (0.750, 0.750, 0.873)
O (0.750, 0.250, 0.000)
O (0.250, 0.750, 0.000)
Si (0.750, 0.250, 0.500)
Si (0.250, 0.750, 0.500)